EuMgI2 | GGA-PBE | relaxed

For the energy relative to the elements, uncorrected, the calculation gives -60.9 kJ/mol of atoms. The value obtained for the total magnetic moment is 7.8 μB/cell.

Lattice parameters (Å, degrees): 4.210 4.210 10.585 78.53 78.53 60.00
Each line ends with the local moment (μB).
Fractional coordinates of all 4 atoms:
Eu: 0.000 0.000 0.000  7.09
I: 0.889 0.889 0.333  0.00
I: 0.111 0.111 0.667  0.00
Mg: 0.500 0.500 0.500  0.02

AlCo2Pb | GGA-PBE | relaxed

Its energy relative to the elements is 0.2715 eV per atom. The value obtained for the polymorph energy (0 for the lowest one) is 0.3083 eV/atom. The value obtained for the total magnetic moment is 2.0 μB/cell.

Lattice parameters (Å, degrees): 3.019 3.519 5.905 90.00 90.00 90.00
Each line ends with the local moment (μB).
Fractional coordinates of all 4 atoms:
Co: 0.500 0.500 0.226  1.11
Co: 0.000 0.000 0.978  1.04
Pb: 0.000 0.000 0.468  -0.03
Al: 0.500 0.500 0.828  -0.02

PmPr12Y7 | GGA-PBE | relaxed

Its energy relative to the elements is 0.1452 eV per atom. The value obtained for the polymorph energy (0 for the lowest one) is 0.0000 eV/atom. The value obtained for the total magnetic moment is 0.0 μB/cell.

Lattice parameters (Å, degrees): 9.548 9.548 9.548 108.00 108.00 108.00
Fractional coordinates of all 20 atoms:
Pr: 0.327 0.619 0.779
Pr: 0.298 0.408 0.055
Pr: 0.945 0.702 0.592
Pr: 0.673 0.381 0.221
Pr: 0.592 0.945 0.702
Pr: 0.619 0.779 0.327
Pr: 0.408 0.055 0.298
Pr: 0.702 0.592 0.945
Pr: 0.055 0.298 0.408
Pr: 0.221 0.673 0.381
Pr: 0.381 0.221 0.673
Pr: 0.779 0.327 0.619
Y: 0.107 0.681 0.993
Y: 0.007 0.893 0.319
Y: 0.993 0.107 0.681
Y: 0.500 0.500 0.500
Y: 0.319 0.007 0.893
Y: 0.681 0.993 0.107
Y: 0.893 0.319 0.007
Pm: 0.000 0.000 0.000